# PBE Pm2AgPt, relaxed
data_Pm2AgPt
_chemical_formula_sum 'Pm8 Ag4 Pt4'
_cell_length_a 7.292
_cell_length_b 7.292
_cell_length_c 7.292
_cell_angle_alpha 90.00
_cell_angle_beta 90.00
_cell_angle_gamma 90.00
_symmetry_space_group_name_H-M 'F m -3 m'
_symmetry_Int_Tables_number 225
_symmetry_space_group_name_Hall '-F 4 2 3'
loop_
_atom_site_label
_atom_site_fract_x
_atom_site_fract_y
_atom_site_fract_z
Pm1 0.250 0.250 0.250
Ag1 0.000 0.000 0.000
Pt1 0.000 0.000 0.500
# DOS at the Fermi energy in states/eV/atom: 0.601
# Formation enthalpy at 0 K in meV/atom: -684
# E above lowest polymorph in meV/atom: 51



# PBE Pm4AgPt2, relaxed
data_Pm4AgPt2
_chemical_formula_sum 'Pm16 Ag4 Pt8'
_cell_length_a 13.294
_cell_length_b 9.325
_cell_length_c 9.408
_cell_angle_alpha 90.00
_cell_angle_beta 134.95
_cell_angle_gamma 90.00
_symmetry_space_group_name_H-M 'C 1 2/c 1'
_symmetry_Int_Tables_number 15
loop_
_symmetry_equiv_pos_as_xyz
'x,y,z'
'-x,-y,-z'
'-x,y,-z+1/2'
'x,-y,z+1/2'
'x+1/2,y+1/2,z'
'-x+1/2,-y+1/2,-z'
'-x+1/2,y+1/2,-z+1/2'
'x+1/2,-y+1/2,z+1/2'
loop_
_atom_site_label
_atom_site_fract_x
_atom_site_fract_y
_atom_site_fract_z
Pm1 0.000 0.204 0.064
Pm2 0.186 0.454 0.935
Ag1 0.000 0.125 0.750
Pt1 0.000 0.500 0.000
Pt2 0.250 0.250 0.500
# DOS at the Fermi energy in states/eV/atom: 0.901
# Formation enthalpy at 0 K in meV/atom: -636



# PBE PmAgPtRh, relaxed
data_PmAgPtRh
_chemical_formula_sum 'Pm4 Ag4 Pt4 Rh4'
_cell_length_a 6.740
_cell_length_b 6.740
_cell_length_c 6.740
_cell_angle_alpha 90.00
_cell_angle_beta 90.00
_cell_angle_gamma 90.00
_symmetry_space_group_name_H-M 'F -4 3 m'
_symmetry_Int_Tables_number 216
_symmetry_space_group_name_Hall 'F -4 2 3'
loop_
_atom_site_label
_atom_site_fract_x
_atom_site_fract_y
_atom_site_fract_z
Pm1 0.000 0.000 0.000
Ag1 0.000 0.000 0.500
Pt1 0.250 0.250 0.250
Rh1 0.250 0.250 0.750
# DOS at the Fermi energy in states/eV/atom: 0.505
# Formation enthalpy at 0 K in meV/atom: -438



# PBE PmAgSbPt, relaxed
data_PmAgSbPt
_chemical_formula_sum 'Pm4 Ag4 Sb4 Pt4'
_cell_length_a 7.042
_cell_length_b 7.042
_cell_length_c 7.042
_cell_angle_alpha 90.00
_cell_angle_beta 90.00
_cell_angle_gamma 90.00
_symmetry_space_group_name_H-M 'F -4 3 m'
_symmetry_Int_Tables_number 216
_symmetry_space_group_name_Hall 'F -4 2 3'
loop_
_atom_site_label
_atom_site_fract_x
_atom_site_fract_y
_atom_site_fract_z
Pm1 0.000 0.000 0.000
Ag1 0.250 0.250 0.750
Sb1 0.000 0.000 0.500
Pt1 0.250 0.250 0.250
# DOS at the Fermi energy in states/eV/atom: 0.498
# ΔE_f (raw) in eV/atom: -0.59



# PBE PmSi2AgPt5, relaxed
data_PmSi2AgPt5
_chemical_formula_sum 'Pm1 Si2 Ag1 Pt5'
_cell_length_a 4.046
_cell_length_b 4.046
_cell_length_c 11.029
_cell_angle_alpha 90.00
_cell_angle_beta 90.00
_cell_angle_gamma 90.00
_symmetry_space_group_name_H-M 'P 4/m m m'
_symmetry_Int_Tables_number 123
_symmetry_space_group_name_Hall '-P 4 2'
loop_
_atom_site_label
_atom_site_fract_x
_atom_site_fract_y
_atom_site_fract_z
Pm1 0.000 0.000 0.000
Si1 0.500 0.500 0.213
Ag1 0.000 0.000 0.500
Pt1 0.000 0.500 0.321
Pt2 0.500 0.500 0.000
# DOS at the Fermi energy in states/eV/atom: 0.290
# ΔE_f (raw) in eV/atom: -0.56



# PBE PmSi2AgPt7, relaxed
data_PmSi2AgPt7
_chemical_formula_sum 'Pm2 Si4 Ag2 Pt14'
_cell_length_a 4.057
_cell_length_b 4.057
_cell_length_c 29.556
_cell_angle_alpha 90.00
_cell_angle_beta 90.00
_cell_angle_gamma 90.00
_symmetry_space_group_name_H-M 'I -4 m 2'
_symmetry_Int_Tables_number 119
_symmetry_space_group_name_Hall 'I -4 -2'
loop_
_atom_site_label
_atom_site_fract_x
_atom_site_fract_y
_atom_site_fract_z
Pm1 0.000 0.000 0.000
Si1 0.000 0.000 0.381
Ag1 0.000 0.500 0.250
Pt1 0.000 0.000 0.306
Pt2 0.000 0.000 0.500
Pt3 0.000 0.500 0.076
Pt4 0.000 0.500 0.576
# DOS at the Fermi energy in states/eV/atom: 0.495
# ΔE_f (raw) in eV/atom: -0.24



# PBE Pm2Si3AgPt12, relaxed
data_Pm2Si3AgPt12
_chemical_formula_sum 'Pm6 Si9 Ag3 Pt36'
_cell_length_a 8.3488
_cell_length_b 8.3488
_cell_length_c 17.6599
_cell_angle_alpha 90.00
_cell_angle_beta 90.00
_cell_angle_gamma 120.00
_symmetry_space_group_name_H-M 'R -3 m'
_symmetry_Int_Tables_number 166
_symmetry_space_group_name_Hall '-R 3 2"'
loop_
_atom_site_label
_atom_site_fract_x
_atom_site_fract_y
_atom_site_fract_z
Pm1 0.0000 0.0000 0.1082
Si1 0.0000 0.5000 0.0000
Ag1 0.0000 0.0000 0.5000
Pt1 0.0156 0.5078 0.8693
Pt2 0.0300 0.5150 0.3679
# DOS at the Fermi energy in states/eV/atom: 0.380
# ΔE_f (raw) in eV/atom: -0.41



# PBE PmSmAgPt, relaxed
data_PmSmAgPt
_chemical_formula_sum 'Pm4 Sm4 Ag4 Pt4'
_cell_length_a 7.274
_cell_length_b 7.274
_cell_length_c 7.274
_cell_angle_alpha 90.00
_cell_angle_beta 90.00
_cell_angle_gamma 90.00
_symmetry_space_group_name_H-M 'F -4 3 m'
_symmetry_Int_Tables_number 216
_symmetry_space_group_name_Hall 'F -4 2 3'
loop_
_atom_site_label
_atom_site_fract_x
_atom_site_fract_y
_atom_site_fract_z
Pm1 0.000 0.000 0.000
Sm1 0.000 0.000 0.500
Ag1 0.250 0.250 0.250
Pt1 0.250 0.250 0.750
# DOS at the Fermi energy in states/eV/atom: 0.579
# Formation enthalpy at 0 K in meV/atom: -694
# E above lowest polymorph in meV/atom: 27



# PBE PmSmAgPt, relaxed
data_PmSmAgPt
_chemical_formula_sum 'Pm2 Sm2 Ag2 Pt2'
_cell_length_a 4.700
_cell_length_b 3.895
_cell_length_c 10.930
_cell_angle_alpha 90.00
_cell_angle_beta 90.00
_cell_angle_gamma 90.00
_symmetry_space_group_name_H-M 'A m m 2'
_symmetry_Int_Tables_number 38
loop_
_symmetry_equiv_pos_as_xyz
'x,y,z'
'-x,-y,z'
'-x,y,z'
'x,-y,z'
'x,y+1/2,z+1/2'
'-x,-y+1/2,z+1/2'
'-x,y+1/2,z+1/2'
'x,-y+1/2,z+1/2'
loop_
_atom_site_label
_atom_site_fract_x
_atom_site_fract_y
_atom_site_fract_z
Pm1 0.000 0.000 0.000
Sm1 0.500 0.000 0.724
Ag1 0.000 0.000 0.280
Pt1 0.500 0.000 0.447
# DOS at the Fermi energy in states/eV/atom: 0.709
# Formation enthalpy at 0 K in meV/atom: -721
# E above lowest polymorph in meV/atom: 0



# PBE Pm2AgSn3Pt4, relaxed
data_Pm2AgSn3Pt4
_chemical_formula_sum 'Pm2 Ag1 Sn3 Pt4'
_cell_length_a 4.255
_cell_length_b 4.255
_cell_length_c 12.085
_cell_angle_alpha 90.00
_cell_angle_beta 90.00
_cell_angle_gamma 90.00
_symmetry_space_group_name_H-M 'P -4 m 2'
_symmetry_Int_Tables_number 115
loop_
_symmetry_equiv_pos_as_xyz
'x,y,z'
'y,-x,-z'
'-x,-y,z'
'-y,x,-z'
'-x,y,z'
'-y,-x,-z'
'x,-y,z'
'y,x,-z'
loop_
_atom_site_label
_atom_site_fract_x
_atom_site_fract_y
_atom_site_fract_z
Pm1 0.000 0.500 0.238
Ag1 0.500 0.500 0.000
Sn1 0.000 0.000 0.000
Sn2 0.000 0.500 0.633
Pt1 0.000 0.000 0.500
Pt2 0.000 0.500 0.848
Pt3 0.500 0.500 0.500
# DOS at the Fermi energy in states/eV/atom: 0.551
# Formation enthalpy at 0 K in meV/atom: -735



# PBE PmAgSnPt, relaxed
data_PmAgSnPt
_chemical_formula_sum 'Pm4 Ag4 Sn4 Pt4'
_cell_length_a 6.991
_cell_length_b 6.991
_cell_length_c 6.991
_cell_angle_alpha 90.00
_cell_angle_beta 90.00
_cell_angle_gamma 90.00
_symmetry_space_group_name_H-M 'F -4 3 m'
_symmetry_Int_Tables_number 216
_symmetry_space_group_name_Hall 'F -4 2 3'
loop_
_atom_site_label
_atom_site_fract_x
_atom_site_fract_y
_atom_site_fract_z
Pm1 0.000 0.000 0.000
Ag1 0.250 0.250 0.250
Sn1 0.000 0.000 0.500
Pt1 0.250 0.250 0.750
# DOS at the Fermi energy in states/eV/atom: 0.616
# Formation enthalpy at 0 K in meV/atom: -643



# PBE Pm2AgSn4Pt3, relaxed
data_Pm2AgSn4Pt3
_chemical_formula_sum 'Pm2 Ag1 Sn4 Pt3'
_cell_length_a 4.570
_cell_length_b 4.570
_cell_length_c 10.955
_cell_angle_alpha 90.00
_cell_angle_beta 90.00
_cell_angle_gamma 90.00
_symmetry_space_group_name_H-M 'P -4 m 2'
_symmetry_Int_Tables_number 115
loop_
_symmetry_equiv_pos_as_xyz
'x,y,z'
'y,-x,-z'
'-x,-y,z'
'-y,x,-z'
'-x,y,z'
'-y,-x,-z'
'x,-y,z'
'y,x,-z'
loop_
_atom_site_label
_atom_site_fract_x
_atom_site_fract_y
_atom_site_fract_z
Pm1 0.000 0.500 0.242
Ag1 0.500 0.500 0.000
Sn1 0.000 0.000 0.500
Sn2 0.000 0.500 0.865
Sn3 0.500 0.500 0.500
Pt1 0.000 0.000 0.000
Pt2 0.000 0.500 0.628
# DOS at the Fermi energy in states/eV/atom: 0.453
# Formation enthalpy at 0 K in meV/atom: -728



# PBE SrPmAgPt, relaxed
data_SrPmAgPt
_chemical_formula_sum 'Sr4 Pm4 Ag4 Pt4'
_cell_length_a 7.393
_cell_length_b 7.393
_cell_length_c 7.393
_cell_angle_alpha 90.00
_cell_angle_beta 90.00
_cell_angle_gamma 90.00
_symmetry_space_group_name_H-M 'F -4 3 m'
_symmetry_Int_Tables_number 216
_symmetry_space_group_name_Hall 'F -4 2 3'
loop_
_atom_site_label
_atom_site_fract_x
_atom_site_fract_y
_atom_site_fract_z
Sr1 0.000 0.000 0.000
Pm1 0.000 0.000 0.500
Ag1 0.250 0.250 0.250
Pt1 0.250 0.250 0.750
# DOS at the Fermi energy in states/eV/atom: 1.025
# Formation enthalpy at 0 K in meV/atom: -563



# PBE TbPmAgPt, relaxed
data_TbPmAgPt
_chemical_formula_sum 'Tb4 Pm4 Ag4 Pt4'
_cell_length_a 7.215
_cell_length_b 7.215
_cell_length_c 7.215
_cell_angle_alpha 90.00
_cell_angle_beta 90.00
_cell_angle_gamma 90.00
_symmetry_space_group_name_H-M 'F -4 3 m'
_symmetry_Int_Tables_number 216
_symmetry_space_group_name_Hall 'F -4 2 3'
loop_
_atom_site_label
_atom_site_fract_x
_atom_site_fract_y
_atom_site_fract_z
Tb1 0.000 0.000 0.000
Pm1 0.000 0.000 0.500
Ag1 0.250 0.250 0.250
Pt1 0.250 0.250 0.750
# DOS at the Fermi energy in states/eV/atom: 0.552
# Formation enthalpy at 0 K in meV/atom: -726
# E above lowest polymorph in meV/atom: 17



# PBE TbPmAgPt, relaxed
data_TbPmAgPt
_chemical_formula_sum 'Tb2 Pm2 Ag2 Pt2'
_cell_length_a 4.671
_cell_length_b 3.851
_cell_length_c 10.865
_cell_angle_alpha 90.00
_cell_angle_beta 90.00
_cell_angle_gamma 90.00
_symmetry_space_group_name_H-M 'A m m 2'
_symmetry_Int_Tables_number 38
loop_
_symmetry_equiv_pos_as_xyz
'x,y,z'
'-x,-y,z'
'-x,y,z'
'x,-y,z'
'x,y+1/2,z+1/2'
'-x,-y+1/2,z+1/2'
'-x,y+1/2,z+1/2'
'x,-y+1/2,z+1/2'
loop_
_atom_site_label
_atom_site_fract_x
_atom_site_fract_y
_atom_site_fract_z
Tb1 0.000 0.000 0.000
Pm1 0.500 0.000 0.277
Ag1 0.000 0.000 0.719
Pt1 0.500 0.000 0.551
# DOS at the Fermi energy in states/eV/atom: 0.664
# Formation enthalpy at 0 K in meV/atom: -743
# E above lowest polymorph in meV/atom: 0



# PBE PmThAgPt, relaxed
data_PmThAgPt
_chemical_formula_sum 'Pm4 Th4 Ag4 Pt4'
_cell_length_a 7.322
_cell_length_b 7.322
_cell_length_c 7.322
_cell_angle_alpha 90.00
_cell_angle_beta 90.00
_cell_angle_gamma 90.00
_symmetry_space_group_name_H-M 'F -4 3 m'
_symmetry_Int_Tables_number 216
_symmetry_space_group_name_Hall 'F -4 2 3'
loop_
_atom_site_label
_atom_site_fract_x
_atom_site_fract_y
_atom_site_fract_z
Pm1 0.000 0.000 0.000
Th1 0.000 0.000 0.500
Ag1 0.250 0.250 0.250
Pt1 0.250 0.250 0.750
# DOS at the Fermi energy in states/eV/atom: 0.877
# Formation enthalpy at 0 K in meV/atom: -582



# PBE Pm4TlAg2Pt, relaxed
data_Pm4TlAg2Pt
_chemical_formula_sum 'Pm12 Tl3 Ag6 Pt3'
_cell_length_a 5.2738
_cell_length_b 5.2738
_cell_length_c 25.7352
_cell_angle_alpha 90.00
_cell_angle_beta 90.00
_cell_angle_gamma 120.00
_symmetry_space_group_name_H-M 'R -3 m'
_symmetry_Int_Tables_number 166
_symmetry_space_group_name_Hall '-R 3 2"'
loop_
_atom_site_label
_atom_site_fract_x
_atom_site_fract_y
_atom_site_fract_z
Pm1 0.0000 0.0000 0.1160
Pm2 0.0000 0.0000 0.3682
Tl1 0.0000 0.0000 0.5000
Ag1 0.0000 0.0000 0.2409
Pt1 0.0000 0.0000 0.0000
# DOS at the Fermi energy in states/eV/atom: 0.813
# Formation enthalpy at 0 K in meV/atom: -524



# PBE PmTmAgPt, relaxed
data_PmTmAgPt
_chemical_formula_sum 'Pm4 Tm4 Ag4 Pt4'
_cell_length_a 7.155
_cell_length_b 7.155
_cell_length_c 7.155
_cell_angle_alpha 90.00
_cell_angle_beta 90.00
_cell_angle_gamma 90.00
_symmetry_space_group_name_H-M 'F -4 3 m'
_symmetry_Int_Tables_number 216
_symmetry_space_group_name_Hall 'F -4 2 3'
loop_
_atom_site_label
_atom_site_fract_x
_atom_site_fract_y
_atom_site_fract_z
Pm1 0.000 0.000 0.000
Tm1 0.000 0.000 0.500
Ag1 0.250 0.250 0.250
Pt1 0.250 0.250 0.750
# DOS at the Fermi energy in states/eV/atom: 0.546
# Formation enthalpy at 0 K in meV/atom: -749



# PBE Pm2Zn2AgPt5, relaxed
data_Pm2Zn2AgPt5
_chemical_formula_sum 'Pm4 Zn4 Ag2 Pt10'
_cell_length_a 9.674
_cell_length_b 9.674
_cell_length_c 3.886
_cell_angle_alpha 90.00
_cell_angle_beta 90.00
_cell_angle_gamma 90.00
_symmetry_space_group_name_H-M 'P 4/m b m'
_symmetry_Int_Tables_number 127
_symmetry_space_group_name_Hall '-P 4 2ab'
loop_
_atom_site_label
_atom_site_fract_x
_atom_site_fract_y
_atom_site_fract_z
Pm1 0.178 0.322 0.000
Zn1 0.120 0.620 0.000
Ag1 0.000 0.000 0.000
Pt1 0.000 0.500 0.500
Pt2 0.065 0.793 0.500
# DOS at the Fermi energy in states/eV/atom: 0.250
# Formation enthalpy at 0 K in meV/atom: -714



# PBE Pm4PuAg5, relaxed
data_Pm4PuAg5
_chemical_formula_sum 'Pm4 Pu1 Ag5'
_cell_length_a 3.683
_cell_length_b 3.683
_cell_length_c 18.980
_cell_angle_alpha 90.00
_cell_angle_beta 90.00
_cell_angle_gamma 90.00
_symmetry_space_group_name_H-M 'P 4/m m m'
_symmetry_Int_Tables_number 123
_symmetry_space_group_name_Hall '-P 4 2'
loop_
_atom_site_label
_atom_site_fract_x
_atom_site_fract_y
_atom_site_fract_z
Pm1 0.000 0.000 0.100
Pm2 0.000 0.000 0.302
Pu1 0.000 0.000 0.500
Ag1 0.500 0.500 0.000
Ag2 0.500 0.500 0.201
Ag3 0.500 0.500 0.398
# DOS at the Fermi energy in states/eV/atom: 1.581
# Formation enthalpy at 0 K in meV/atom: -187



| no. | V (Å³/f.u.) |
| --- | --- |
| 1 | 96.9 |
| 2 | 206.3 |
| 3 | 76.6 |
| 4 | 87.3 |
| 5 | 180.5 |
| 6 | 243.3 |
| 7 | 355.3 |
| 8 | 96.2 |
| 9 | 100.1 |
| 10 | 218.8 |
| 11 | 85.4 |
| 12 | 228.8 |
| 13 | 101.0 |
| 14 | 93.9 |
| 15 | 97.7 |
| 16 | 98.2 |
| 17 | 206.6 |
| 18 | 91.6 |
| 19 | 181.9 |
| 20 | 257.5 |